{"formula": "GdSi2AgAu", "functional": "PBE", "state": "relaxed", "lattice": [[-2.110, 2.110, 5.229], [2.110, -2.110, 5.229], [2.110, 2.110, -5.229]], "species": ["Si", "Si", "Au", "Gd", "Ag"], "fractional_positions": [[0.860, 0.360, 0.500], [0.640, 0.140, 0.500], [0.500, 0.500, 0.000], [0.250, 0.750, 0.500], [0.000, 0.000, 0.000]], "sg": "I-4m2", "total_energy_ev_per_atom": -4.8303}

{"formula": "AgGeAu", "functional": "PBE", "state": "relaxed", "lattice": [[1.469, -0.710, 4.174], [2.102, 3.275, 2.224], [-2.018, 2.014, 3.459]], "species": ["Ag", "Au", "Ge"], "fractional_positions": [[0.250, 0.250, 0.250], [0.000, 0.000, 0.000], [0.750, 0.750, 0.750]], "sg": "F-43m", "polymorph_energy_ev_per_fu": 0.00}

What ρ values result from the calculations? In sequence: 9.24, 9.85 g/cm3.